Computed, not measured: a relaxed structure of BeAlCl2 at the PBE level of DFT.

Cell: 4.8728 4.8732 3.3316 Å, 90.00 90.00 89.89°
Element x y z (fractional)
1 Be 0.0000 0.5000 0.5000
2 Al 0.5000 0.0000 0.5000
3 Cl 0.0000 0.0000 0.0000
4 Cl 0.5000 0.5000 0.0000

Calculated volume (A^3/atom): 19.78
Formation energy from raw total energies (eV/atom): 0.310
Polymorph energy (0 for the lowest one) (eV/atom): 0.9608


Computed, not measured: a relaxed structure of YInBr2 at the PBE level of DFT.

Cell: 3.7764 3.7764 10.2269 Å, 90.00 90.00 116.06°
Element x y z (fractional)
1 Y 0.5000 0.5000 0.7423
2 Br 0.0000 0.0000 0.9385
3 Br 0.5000 0.5000 0.3149
4 In 0.0000 0.0000 0.5044

Calculated volume (A^3/atom): 32.75
Formation energy from raw total energies (eV/atom): -0.807
Polymorph energy (0 for the lowest one) (eV/atom): 0.2323


Computed, not measured: a relaxed structure of LaSc2HgC at the PBE level of DFT.

Cell: 4.6150 4.6150 5.2026 Å, 90.00 90.00 90.00°
Element x y z (fractional)
1 Sc 0.0000 0.5000 0.0000
2 Sc 0.5000 0.0000 0.0000
3 C 0.0000 0.0000 0.0000
4 Hg 0.5000 0.5000 0.5000
5 La 0.0000 0.0000 0.5000

Calculated volume (A^3/atom): 22.16
Energy of formation (eV/f.u.): -1.8


Computed, not measured: a relaxed structure of DyTeSe at the PBE level of DFT.

Cell: 3.7420 3.6383 7.3388 Å, 104.31 90.04 90.00°
Element x y z (fractional)
1 Dy 0.8671 0.8585 0.2686
2 Te 0.8667 0.5382 0.6295
3 Se 0.3669 0.2808 0.1127

Calculated volume (A^3/atom): 32.27
Formation energy from raw total energies (eV/atom): -1.189
Polymorph energy (0 for the lowest one) (eV/atom): 0.2194


Computed, not measured: a relaxed structure of SmDy3Sc4 at the PBE level of DFT.

Cell: 6.0149 6.9734 10.8190 Å, 90.00 90.00 90.00°
Element x y z (fractional)
1 Sm 0.1427 0.3658 0.0000
2 Sm 0.6427 0.6342 0.5000
3 Dy 0.6416 0.6345 0.0000
4 Dy 0.9864 0.6350 0.2497
5 Dy 0.4864 0.3650 0.2503
6 Dy 0.1416 0.3655 0.5000
7 Dy 0.4864 0.3650 0.7497
8 Dy 0.9864 0.6350 0.7503
9 Sc 0.1511 0.8843 0.0000
10 Sc 0.6510 0.1151 0.0000
11 Sc 0.9780 0.1158 0.2512
12 Sc 0.4780 0.8842 0.2488
13 Sc 0.1510 0.8849 0.5000
14 Sc 0.6511 0.1157 0.5000
15 Sc 0.4780 0.8842 0.7512
16 Sc 0.9780 0.1158 0.7488

Calculated volume (A^3/atom): 28.36
Energy of formation (eV/f.u.): 0.3


Computed, not measured: a relaxed structure of KRuSe at the PBE level of DFT.

Cell: 4.9957 4.9957 4.9957 Å, 60.00 60.00 60.00°
Element x y z (fractional)
1 K 0.7500 0.7500 0.7500
2 Ru 0.0000 0.0000 0.0000
3 Se 0.5000 0.5000 0.5000

Calculated volume (A^3/atom): 29.39
Formation energy from raw total energies (eV/atom): 1.325
Polymorph energy (0 for the lowest one) (eV/atom): 1.7018